A relaxed AlIn2As crystal. Source: Alexandria via LeMat-Bulk, functional GGA-PBE.

Calculated values
- uncorrected energy (eV/atom) = -3.277
- offset from the most stable computed form (kJ/mol of formula units) = 92.2
- energy of formation from the pure elements (eV/f.u.) = 0.8
- M_tot (μB per atom) = 0.00
- calculated volume (Å³/atom) = 22.941
- space-group type = I-4m2

a b c (Å): 5.464 5.464 5.464
angles (deg): 130.66 130.66 72.36
Element x y z (fractional)
As 0.750 0.250 0.500
Al 0.500 0.500 0.000
In 0.000 0.000 0.000
In 0.250 0.750 0.500